# 1
{"formula": "CdPC2", "functional": "GGA-PBEsol", "state": "optimized geometry", "lattice_angstrom": [[-2.4499, 2.4499, 4.0256], [2.4499, -2.4499, 4.0256], [2.4499, 2.4499, -4.0256]], "species": ["Cd", "Cd", "P", "P", "C", "C", "C", "C"], "frac_coords": [[0.0000, 0.0000, 0.0000], [0.7500, 0.2500, 0.5000], [0.2500, 0.7500, 0.5000], [0.5000, 0.5000, 0.0000], [0.2119, 0.1250, 0.5869], [0.3750, 0.7881, 0.9131], [0.5381, 0.6250, 0.4131], [0.8750, 0.4619, 0.0869]], "vol_a3_per_atom": 12.1, "rho_g_cm3": 5.8, "formation_energy_ev_per_atom": 0.759, "magmom_total_mub_per_fu": 0.0}

---

# 2
{"formula": "GeMoSe2I", "functional": "GGA-PBEsol", "state": "optimized geometry", "lattice_angstrom": [[5.3015, 0.0000, 0.0000], [0.0000, 5.3015, 0.0000], [0.0000, 0.0000, 5.3013]], "species": ["Ge", "Mo", "Se", "Se", "I"], "frac_coords": [[0.0000, 0.0000, 0.0000], [0.5000, 0.5000, 0.0000], [0.0000, 0.5000, 0.5000], [0.5000, 0.0000, 0.5000], [0.0000, 0.0000, 0.5000]], "vol_a3_per_atom": 29.8, "rho_g_cm3": 5.1, "e_form_raw_ev_per_atom": 1.681, "magmom_total_mub_per_fu": 3.7}

---

# 3
{"formula": "Zr2CoRh", "functional": "GGA-PBEsol", "state": "optimized geometry", "lattice_angstrom": [[4.5349, 0.0000, 0.0000], [0.0000, 4.5349, 0.0000], [0.0000, 0.0000, 3.1808]], "species": ["Zr", "Zr", "Co", "Rh"], "frac_coords": [[0.0000, 0.5000, 0.0000], [0.5000, 0.0000, 0.0000], [0.0000, 0.0000, 0.5000], [0.5000, 0.5000, 0.5000]], "vol_a3_per_atom": 16.4, "rho_g_cm3": 8.7, "formation_energy_ev_per_atom": -0.501, "relative_energy_mev_per_atom": 38, "magmom_total_mub_per_fu": 0.5}

---

# 4
{"formula": "ScSbRh2", "functional": "GGA-PBEsol", "state": "optimized geometry", "lattice_angstrom": [[3.1990, 0.0000, 0.0000], [0.0000, 3.4869, 0.0000], [0.0000, 0.0000, 5.9751]], "species": ["Sc", "Sb", "Rh", "Rh"], "frac_coords": [[0.0000, 0.0000, 0.0000], [0.0000, 0.0000, 0.5000], [0.5000, 0.5000, 0.2521], [0.5000, 0.5000, 0.7479]], "vol_a3_per_atom": 16.7, "rho_g_cm3": 9.3, "e_form_raw_ev_per_atom": -0.645, "magmom_total_mub_per_fu": 0.0}

---

# 5
{"formula": "CaZr2CdB", "functional": "GGA-PBEsol", "state": "optimized geometry", "lattice_angstrom": [[4.9304, 0.0000, 0.0000], [0.0000, 4.9304, 0.0000], [0.0000, 0.0000, 5.0653]], "species": ["Ca", "Zr", "Zr", "Cd", "B"], "frac_coords": [[0.0000, 0.0000, 0.0000], [0.0000, 0.5000, 0.0000], [0.5000, 0.0000, 0.0000], [0.0000, 0.0000, 0.5000], [0.5000, 0.5000, 0.5000]], "vol_a3_per_atom": 24.6, "rho_g_cm3": 4.7, "formation_energy_ev_per_atom": 2.341, "magmom_total_mub_per_fu": 0.0}

---

# 6
{"formula": "MgCo2Mo", "functional": "GGA-PBEsol", "state": "optimized geometry", "lattice_angstrom": [[4.3102, 0.0000, 0.0000], [0.0000, 4.3102, 0.0000], [0.0000, 0.0000, 2.7592]], "species": ["Mg", "Co", "Co", "Mo"], "frac_coords": [[0.0000, 0.0000, 0.0000], [0.0000, 0.5000, 0.5000], [0.5000, 0.0000, 0.5000], [0.5000, 0.5000, 0.0000]], "vol_a3_per_atom": 12.8, "rho_g_cm3": 7.7, "formation_energy_ev_per_atom": 0.176, "magmom_total_mub_per_fu": 1.5}

---

# 7
{"formula": "Li2Mg2S3O12", "functional": "GGA-PBEsol", "state": "optimized geometry", "lattice_angstrom": [[12.1609, 0.0000, 0.0000], [0.0000, 8.5496, 0.0000], [0.0000, 0.0000, 8.7101]], "species": ["Li", "Li", "Li", "Li", "Li", "Li", "Li", "Li", "Mg", "Mg", "Mg", "Mg", "Mg", "Mg", "Mg", "Mg", "S", "S", "S", "S", "S", "S", "S", "S", "S", "S", "S", "S", "O", "O", "O", "O", "O", "O", "O", "O", "O", "O", "O", "O", "O", "O", "O", "O", "O", "O", "O", "O", "O", "O", "O", "O", "O", "O", "O", "O", "O", "O", "O", "O", "O", "O", "O", "O", "O", "O", "O", "O", "O", "O", "O", "O", "O", "O", "O", "O"], "frac_coords": [[0.1810, 0.2146, 0.2228], [0.1810, 0.7854, 0.7228], [0.3190, 0.2854, 0.7228], [0.3190, 0.7146, 0.2228], [0.6810, 0.2854, 0.7772], [0.6810, 0.7146, 0.2772], [0.8190, 0.2146, 0.2772], [0.8190, 0.7854, 0.7772], [0.1104, 0.2542, 0.5415], [0.1104, 0.7458, 0.0415], [0.3896, 0.2458, 0.0415], [0.3896, 0.7542, 0.5415], [0.6104, 0.2458, 0.4585], [0.6104, 0.7542, 0.9585], [0.8896, 0.2542, 0.9585], [0.8896, 0.7458, 0.4585], [0.0000, 0.4529, 0.2500], [0.0000, 0.5471, 0.7500], [0.1486, 0.1048, 0.8953], [0.1486, 0.8952, 0.3953], [0.3514, 0.3952, 0.3953], [0.3514, 0.6048, 0.8953], [0.5000, 0.0471, 0.7500], [0.5000, 0.9529, 0.2500], [0.6486, 0.3952, 0.1047], [0.6486, 0.6048, 0.6047], [0.8514, 0.1048, 0.6047], [0.8514, 0.8952, 0.1047], [0.0357, 0.1484, 0.9316], [0.0357, 0.8516, 0.4316], [0.0627, 0.4537, 0.6405], [0.0627, 0.5463, 0.1405], [0.0789, 0.3482, 0.3314], [0.0789, 0.6518, 0.8314], [0.1601, 0.0680, 0.3926], [0.1601, 0.9320, 0.8926], [0.1818, 0.1669, 0.7426], [0.1818, 0.8331, 0.2426], [0.2234, 0.1697, 0.0147], [0.2234, 0.8303, 0.5147], [0.2766, 0.3303, 0.5147], [0.2766, 0.6697, 0.0147], [0.3182, 0.3331, 0.2426], [0.3182, 0.6669, 0.7426], [0.3399, 0.4320, 0.8926], [0.3399, 0.5680, 0.3926], [0.4211, 0.1518, 0.8314], [0.4211, 0.8482, 0.3314], [0.4373, 0.0463, 0.1405], [0.4373, 0.9537, 0.6405], [0.4643, 0.3516, 0.4316], [0.4643, 0.6484, 0.9316], [0.5357, 0.3516, 0.0684], [0.5357, 0.6484, 0.5684], [0.5627, 0.0463, 0.3595], [0.5627, 0.9537, 0.8595], [0.5789, 0.1518, 0.6686], [0.5789, 0.8482, 0.1686], [0.6601, 0.4320, 0.6074], [0.6601, 0.5680, 0.1074], [0.6818, 0.3331, 0.2574], [0.6818, 0.6669, 0.7574], [0.7234, 0.3303, 0.9853], [0.7234, 0.6697, 0.4853], [0.7766, 0.1697, 0.4853], [0.7766, 0.8303, 0.9853], [0.8182, 0.1669, 0.7574], [0.8182, 0.8331, 0.2574], [0.8399, 0.0680, 0.1074], [0.8399, 0.9320, 0.6074], [0.9211, 0.3482, 0.1686], [0.9211, 0.6518, 0.6686], [0.9373, 0.4537, 0.8595], [0.9373, 0.5463, 0.3595], [0.9643, 0.1484, 0.5684], [0.9643, 0.8516, 0.0684]], "vol_a3_per_atom": 11.9, "rho_g_cm3": 2.6, "e_form_raw_ev_per_atom": -1.984, "magmom_total_mub_per_fu": 0.0}

---

# 8
{"formula": "Li3AlF6", "functional": "GGA-PBEsol", "state": "optimized geometry", "lattice_angstrom": [[9.4679, 0.0000, 0.0000], [0.0000, 8.1911, 0.0000], [0.0000, 0.0000, 4.8699]], "species": ["Li", "Li", "Li", "Li", "Li", "Li", "Li", "Li", "Li", "Li", "Li", "Li", "Al", "Al", "Al", "Al", "F", "F", "F", "F", "F", "F", "F", "F", "F", "F", "F", "F", "F", "F", "F", "F", "F", "F", "F", "F", "F", "F", "F", "F"], "frac_coords": [[0.1045, 0.0483, 0.0000], [0.1252, 0.6467, 0.4871], [0.1462, 0.4522, 0.9930], [0.3538, 0.9522, 0.4930], [0.3748, 0.1467, 0.9871], [0.3955, 0.5483, 0.5000], [0.6045, 0.4517, 0.0000], [0.6252, 0.8533, 0.4871], [0.6462, 0.0478, 0.9930], [0.8538, 0.5478, 0.4930], [0.8748, 0.3533, 0.9871], [0.8955, 0.9517, 0.5000], [0.1287, 0.2605, 0.4951], [0.3713, 0.7605, 0.9951], [0.6287, 0.2395, 0.4951], [0.8713, 0.7395, 0.9951], [0.0122, 0.4103, 0.6637], [0.0245, 0.2573, 0.1831], [0.0284, 0.0966, 0.6434], [0.2251, 0.4354, 0.3555], [0.2370, 0.2672, 0.8002], [0.2462, 0.1182, 0.3205], [0.2538, 0.6182, 0.8205], [0.2630, 0.7672, 0.3002], [0.2749, 0.9354, 0.8555], [0.4716, 0.5966, 0.1434], [0.4755, 0.7573, 0.6831], [0.4878, 0.9103, 0.1637], [0.5122, 0.0897, 0.6637], [0.5245, 0.2427, 0.1831], [0.5284, 0.4034, 0.6434], [0.7251, 0.0646, 0.3555], [0.7370, 0.2328, 0.8002], [0.7462, 0.3818, 0.3205], [0.7538, 0.8818, 0.8205], [0.7630, 0.7328, 0.3002], [0.7749, 0.5646, 0.8555], [0.9716, 0.9034, 0.1434], [0.9755, 0.7427, 0.6831], [0.9878, 0.5897, 0.1637]], "vol_a3_per_atom": 9.4, "rho_g_cm3": 2.8, "e_form_raw_ev_per_atom": -3.248, "magmom_total_mub_per_fu": 0.0}

---

# 9
{"formula": "Ba2MnTc", "functional": "GGA-PBEsol", "state": "optimized geometry", "lattice_angstrom": [[1.7550, 1.0133, 10.0288], [-1.7550, 1.0133, 10.0288], [0.0000, -2.0265, 10.0288]], "species": ["Ba", "Ba", "Mn", "Tc"], "frac_coords": [[0.2425, 0.2425, 0.2425], [0.7575, 0.7575, 0.7575], [0.0000, 0.0000, 0.0000], [0.5000, 0.5000, 0.5000]], "vol_a3_per_atom": 26.8, "rho_g_cm3": 6.6, "formation_energy_ev_per_atom": 1.314, "relative_energy_mev_per_atom": 656, "magmom_total_mub_per_fu": 4.4}

---

# 10
{"formula": "Y2InGa2", "functional": "GGA-PBEsol", "state": "optimized geometry", "lattice_angstrom": [[7.1290, 0.0000, 0.0000], [0.0000, 7.1290, 0.0000], [0.0000, 0.0000, 4.3508]], "species": ["Y", "Y", "Y", "Y", "In", "In", "Ga", "Ga", "Ga", "Ga"], "frac_coords": [[0.1730, 0.3270, 0.0000], [0.3270, 0.8270, 0.0000], [0.6730, 0.1730, 0.0000], [0.8270, 0.6730, 0.0000], [0.0000, 0.0000, 0.5000], [0.5000, 0.5000, 0.5000], [0.1249, 0.6249, 0.5000], [0.3751, 0.1249, 0.5000], [0.6249, 0.8751, 0.5000], [0.8751, 0.3751, 0.5000]], "vol_a3_per_atom": 22.1, "rho_g_cm3": 6.5, "formation_energy_ev_per_atom": -0.705, "relative_energy_mev_per_atom": 0, "magmom_total_mub_per_fu": 0.0}

---

# 11
{"formula": "La5Ir2", "functional": "GGA-PBEsol", "state": "optimized geometry", "lattice_angstrom": [[8.3781, -3.3119, 0.0000], [8.3781, 3.3119, 0.0000], [-0.8344, 0.0000, 7.2555]], "species": ["La", "La", "La", "La", "La", "La", "La", "La", "La", "La", "Ir", "Ir", "Ir", "Ir"], "frac_coords": [[0.0773, 0.9227, 0.7500], [0.1459, 0.2885, 0.3195], [0.2885, 0.1459, 0.8195], [0.3007, 0.5155, 0.0817], [0.4845, 0.6993, 0.4183], [0.5155, 0.3007, 0.5817], [0.6993, 0.4845, 0.9183], [0.7115, 0.8541, 0.1805], [0.8541, 0.7115, 0.6805], [0.9227, 0.0773, 0.2500], [0.0902, 0.6873, 0.4191], [0.3127, 0.9098, 0.0809], [0.6873, 0.0902, 0.9191], [0.9098, 0.3127, 0.5809]], "vol_a3_per_atom": 28.8, "rho_g_cm3": 8.9, "formation_energy_ev_per_atom": -0.506, "magmom_total_mub_per_fu": 0.0}

---

# 12
{"formula": "LiZr2P3O12", "functional": "GGA-PBEsol", "state": "optimized geometry", "lattice_angstrom": [[8.8618, 0.0000, 0.0000], [0.0000, 8.9728, 0.0000], [-8.6903, 0.0000, 12.4277]], "species": ["Li", "Li", "Li", "Li", "Zr", "Zr", "Zr", "Zr", "Zr", "Zr", "Zr", "Zr", "P", "P", "P", "P", "P", "P", "P", "P", "P", "P", "P", "P", "O", "O", "O", "O", "O", "O", "O", "O", "O", "O", "O", "O", "O", "O", "O", "O", "O", "O", "O", "O", "O", "O", "O", "O", "O", "O", "O", "O", "O", "O", "O", "O", "O", "O", "O", "O", "O", "O", "O", "O", "O", "O", "O", "O", "O", "O", "O", "O"], "frac_coords": [[0.0310, 0.2244, 0.3215], [0.0310, 0.2756, 0.8215], [0.9690, 0.7244, 0.1785], [0.9690, 0.7756, 0.6785], [0.1437, 0.5452, 0.3894], [0.1437, 0.9548, 0.8894], [0.3709, 0.5250, 0.1220], [0.3709, 0.9750, 0.6220], [0.6291, 0.0250, 0.3780], [0.6291, 0.4750, 0.8780], [0.8563, 0.0452, 0.1106], [0.8563, 0.4548, 0.6106], [0.0298, 0.0990, 0.6449], [0.0298, 0.4010, 0.1449], [0.2433, 0.6225, 0.6463], [0.2433, 0.8775, 0.1463], [0.4529, 0.2494, 0.9880], [0.4529, 0.2506, 0.4880], [0.5471, 0.7494, 0.5120], [0.5471, 0.7506, 0.0120], [0.7567, 0.1225, 0.8537], [0.7567, 0.3775, 0.3537], [0.9702, 0.5990, 0.8551], [0.9702, 0.9010, 0.3551], [0.0015, 0.7469, 0.3204], [0.0015, 0.7531, 0.8204], [0.0558, 0.5202, 0.2272], [0.0558, 0.9798, 0.7272], [0.0808, 0.5966, 0.6564], [0.0808, 0.9034, 0.1564], [0.1401, 0.5565, 0.9654], [0.1401, 0.9435, 0.4654], [0.1792, 0.5820, 0.5306], [0.1792, 0.9180, 0.0306], [0.2028, 0.1052, 0.6456], [0.2028, 0.3948, 0.1456], [0.2667, 0.1644, 0.9189], [0.2667, 0.3356, 0.4189], [0.2940, 0.7120, 0.1679], [0.2940, 0.7880, 0.6679], [0.3896, 0.6377, 0.4433], [0.3896, 0.8623, 0.9433], [0.4051, 0.5222, 0.7256], [0.4051, 0.9778, 0.2256], [0.4412, 0.1464, 0.5634], [0.4412, 0.3536, 0.0634], [0.4829, 0.1661, 0.4118], [0.4829, 0.3339, 0.9118], [0.5171, 0.6661, 0.0882], [0.5171, 0.8339, 0.5882], [0.5588, 0.6464, 0.9366], [0.5588, 0.8536, 0.4366], [0.5949, 0.0222, 0.7744], [0.5949, 0.4778, 0.2744], [0.6105, 0.1377, 0.0567], [0.6105, 0.3623, 0.5567], [0.7060, 0.2120, 0.3321], [0.7060, 0.2880, 0.8321], [0.7333, 0.6644, 0.5811], [0.7333, 0.8356, 0.0811], [0.7972, 0.6052, 0.8544], [0.7972, 0.8948, 0.3544], [0.8208, 0.0820, 0.9694], [0.8208, 0.4180, 0.4694], [0.8599, 0.0565, 0.5346], [0.8599, 0.4435, 0.0346], [0.9192, 0.0966, 0.8436], [0.9192, 0.4034, 0.3436], [0.9442, 0.0202, 0.2728], [0.9442, 0.4798, 0.7728], [0.9985, 0.2469, 0.1796], [0.9985, 0.2531, 0.6796]], "vol_a3_per_atom": 13.7, "rho_g_cm3": 3.2, "e_form_raw_ev_per_atom": -2.751, "relative_energy_mev_per_atom": 0, "magmom_total_mub_per_fu": 0.0}